The following is a GGA-PBE calculation of crystalline Hg2BOs at its relaxed geometry, from Alexandria.

Calculated values
Calculated total energy in eV for the cell shown: -29.5
DOS(E_F) in states/eV/f.u.: 3.131
E_form in eV per atom: 0.94

Cell lengths 9.292, 9.292, 6.880 Å; angles 47.53, 47.53, 90.00 degrees
Element x y z (fractional)
B1 0.500 0.500 0.000
B2 0.250 0.750 0.500
Hg1 0.375 0.625 0.750
Hg2 0.875 0.625 0.750
Hg3 0.375 0.125 0.250
Hg4 0.375 0.625 0.250
Os1 0.750 0.250 0.500
Os2 0.000 0.000 0.000